[1]
First-principles (PBE) data for crystalline Zr2Nb4Si3C3 at its relaxed geometry, as listed in OQMD.

Results
Space-group type = No. 15
DFT total energy = -9.06 eV/atom
Crystal system = monoclinic

abc: 5.565 5.565 13.510
angles: 101.96 101.96 60.05
Sites, in units of the cell vectors:
1 C 0.500 0.000 0.000
2 C 0.834 0.333 0.000
3 C 0.166 0.667 0.000
4 C 0.333 0.834 0.500
5 C 0.000 0.500 0.500
6 C 0.667 0.166 0.500
7 Nb 0.199 0.028 0.091
8 Nb 0.862 0.697 0.091
9 Nb 0.303 0.138 0.409
10 Nb 0.972 0.801 0.409
11 Nb 0.028 0.199 0.591
12 Nb 0.697 0.862 0.591
13 Nb 0.138 0.303 0.909
14 Nb 0.801 0.972 0.909
15 Si 0.208 0.417 0.250
16 Si 0.963 0.037 0.250
17 Si 0.583 0.792 0.250
18 Si 0.417 0.208 0.750
19 Si 0.037 0.963 0.750
20 Si 0.792 0.583 0.750
21 Zr 0.535 0.370 0.104
22 Zr 0.630 0.465 0.396
23 Zr 0.370 0.535 0.604
24 Zr 0.465 0.630 0.896



[2]
First-principles (PBE) data for crystalline HoGeMo at its relaxed geometry, as listed in OQMD.

Results
Space-group type = No. 216
DFT total energy = -5.68 eV/atom
Crystal system = cubic

abc: 4.733 4.733 4.733
angles: 60.00 60.00 60.00
Sites, in units of the cell vectors:
1 Ge 0.250 0.250 0.250
2 Ho 0.000 0.000 0.000
3 Mo 0.750 0.750 0.750



[3]
First-principles (PBE) data for crystalline YTeAuO at its relaxed geometry, as listed in OQMD.

Results
Space-group type = No. 99
E above lowest polymorph = 41 meV/atom
DFT total energy = -6.19 eV/atom
Crystal system = tetragonal

abc: 5.699 5.699 10.073
angles: 90.00 90.00 90.00
Sites, in units of the cell vectors:
1 Au 0.250 0.250 0.500
2 Au 0.750 0.250 0.500
3 Au 0.250 0.750 0.500
4 Au 0.750 0.750 0.500
5 O 0.250 0.250 0.000
6 O 0.750 0.250 0.000
7 O 0.250 0.750 0.000
8 O 0.750 0.750 0.000
9 Te 0.500 0.000 0.286
10 Te 0.000 0.500 0.286
11 Te 0.500 0.500 0.713
12 Te 0.000 0.000 0.714
13 Y 0.000 0.000 0.107
14 Y 0.500 0.500 0.107
15 Y 0.500 0.000 0.894
16 Y 0.000 0.500 0.894